Record 1
Material: Mn2VBr6
Method: DFT, PBE
State: optimized geometry

Output
Relative energy among the computed polymorphs = 1.84 eV/f.u.
Formation energy from raw total energies = -5.3 eV per formula unit

Cell: 15.010 3.606 13.044 Å, 90.00 124.67 90.00°
Space group C2/m (No. 12)
Asymmetric unit:
Mn: 0.212 0.000 0.284 x4
V: 0.000 0.500 0.000 x2
Br: 0.042 0.500 0.218 x4
Br: 0.162 0.000 0.560 x4
Br: 0.203 0.500 0.108 x4

***

Record 2
Material: MnVBr2
Method: DFT, PBE
State: optimized geometry

Output
Relative energy among the computed polymorphs = 0.31 eV/f.u.
Formation energy from raw total energies = 1.8 eV per formula unit

Cell: 6.765 6.765 6.765 Å, 90.00 90.00 90.00°
Space group Fm-3m (No. 225)
Asymmetric unit:
Mn: 0.000 0.000 0.000 x4
V: 0.000 0.000 0.500 x4
Br: 0.250 0.250 0.250 x8

***

Record 3
Material: MnV2Br
Method: DFT, PBE
State: optimized geometry

Output
Relative energy among the computed polymorphs = 0.90 eV/f.u.
Formation energy from raw total energies = 3.4 eV per formula unit

Cell: 5.497 5.497 11.334 Å, 90.00 90.00 90.00°
Space group I-42d (No. 122)
Asymmetric unit:
Mn: 0.000 0.000 0.000 x4
V: 0.199 0.250 0.125 x8
Br: 0.000 0.000 0.500 x4

***

Record 4
Material: Mn2VBr6
Method: DFT, PBE
State: optimized geometry

Output
Relative energy among the computed polymorphs = 0.00 eV/f.u.
Formation energy from raw total energies = -7.1 eV per formula unit

Cell: 17.625 3.868 8.186 Å, 90.00 107.61 90.00°
Space group C2/m (No. 12)
Asymmetric unit:
Mn: 0.167 0.000 0.333 x4
V: 0.000 0.500 0.000 x2
Br: 0.006 0.000 0.225 x4
Br: 0.158 0.500 0.097 x4
Br: 0.173 0.500 0.567 x4

***

Record 5
Material: MnWBr
Method: DFT, PBE
State: optimized geometry

Output
Relative energy among the computed polymorphs = 0.61 eV/f.u.
Formation energy from raw total energies = 2.2 eV per formula unit

Cell: 3.193 5.170 12.908 Å, 90.00 90.00 90.00°
Space group Fmm2 (No. 42)
Asymmetric unit:
Mn: 0.000 0.000 0.000 x4
W: 0.000 0.000 0.640 x4
Br: 0.000 0.000 0.331 x4

***

Record 6
Material: Mn2WBr
Method: DFT, PBE
State: optimized geometry

Output
Relative energy among the computed polymorphs = 0.94 eV/f.u.
Formation energy from raw total energies = 2.4 eV per formula unit

Cell: 3.017 3.597 13.371 Å, 90.00 90.00 90.00°
Space group Imm2 (No. 44)
Asymmetric unit:
Mn: 0.000 0.000 0.000 x2
Mn: 0.000 0.500 0.116 x2
W: 0.000 0.500 0.684 x2
Br: 0.000 0.000 0.353 x2

***

Record 7
Material: Mn2WBr
Method: DFT, PBE
State: optimized geometry

Output
Relative energy among the computed polymorphs = 2.46 eV/f.u.
Formation energy from raw total energies = 4.0 eV per formula unit

Cell: 4.199 4.199 6.974 Å, 90.00 90.00 90.00°
Space group I-4m2 (No. 119)
Asymmetric unit:
Mn: 0.000 0.000 0.000 x2
Mn: 0.000 0.500 0.250 x2
W: 0.000 0.500 0.750 x2
Br: 0.000 0.000 0.500 x2

***

Record 8
Material: MnW3Br
Method: DFT, PBE
State: optimized geometry

Output
Relative energy among the computed polymorphs = 3.68 eV/f.u.
Formation energy from raw total energies = 12.7 eV per formula unit

Cell: 4.542 4.542 4.542 Å, 90.00 90.00 90.00°
Space group Pm-3m (No. 221)
Asymmetric unit:
Mn: 0.000 0.000 0.000 x1
W: 0.000 0.500 0.500 x3
Br: 0.500 0.500 0.500 x1

***

Record 9
Material: Mn4WBr
Method: DFT, PBE
State: optimized geometry

Output
Formation energy from raw total energies = 4.6 eV per formula unit

Cell: 6.912 6.912 6.912 Å, 90.00 90.00 90.00°
Space group F-43m (No. 216)
Asymmetric unit:
Mn: 0.124 0.124 0.124 x16
W: 0.250 0.250 0.750 x4
Br: 0.000 0.000 0.500 x4

***

Record 10
Material: MnWBr
Method: DFT, PBE
State: optimized geometry

Output
Relative energy among the computed polymorphs = 1.39 eV/f.u.
Formation energy from raw total energies = 3.0 eV per formula unit

Cell: 4.4423 4.4423 2.9296 Å, 90.00 90.00 120.00°
Space group P3m1 (No. 156)
Asymmetric unit:
Mn: 0.0000 0.0000 0.0000 x1
W: 0.6667 0.3333 0.4991 x1
Br: 0.3333 0.6667 0.4982 x1

***

Record 11
Material: MnW2Br
Method: DFT, PBE
State: optimized geometry

Output
Relative energy among the computed polymorphs = 1.53 eV/f.u.
Formation energy from raw total energies = 3.4 eV per formula unit

Cell: 3.023 4.810 9.062 Å, 90.00 90.00 90.00°
Space group Cmmm (No. 65)
Asymmetric unit:
Mn: 0.000 0.000 0.000 x2
W: 0.000 0.500 0.223 x4
Br: 0.000 0.000 0.500 x2

***

Record 12
Material: MnW2Br
Method: DFT, PBE
State: optimized geometry

Output
Relative energy among the computed polymorphs = 4.53 eV/f.u.
Formation energy from raw total energies = 6.4 eV per formula unit

Cell: 5.156 5.156 12.646 Å, 90.00 90.00 90.00°
Space group I-42d (No. 122)
Asymmetric unit:
Mn: 0.000 0.000 0.000 x4
W: 0.192 0.250 0.125 x8
Br: 0.000 0.000 0.500 x4

***

Record 13
Material: MnW2Br
Method: DFT, PBE
State: optimized geometry

Output
Relative energy among the computed polymorphs = 2.70 eV/f.u.
Formation energy from raw total energies = 4.6 eV per formula unit

Cell: 5.271 8.500 2.897 Å, 90.00 90.00 90.00°
Space group Cmmm (No. 65)
Asymmetric unit:
Mn: 0.000 0.000 0.000 x2
W: 0.250 0.250 0.500 x4
Br: 0.000 0.500 0.000 x2

***

Record 14
Material: Mn2WBr
Method: DFT, PBE
State: optimized geometry

Output
Relative energy among the computed polymorphs = 2.21 eV/f.u.
Formation energy from raw total energies = 3.7 eV per formula unit

Cell: 3.038 4.256 4.677 Å, 90.00 90.00 90.00°
Space group Pmmm (No. 47)
Asymmetric unit:
Mn: 0.000 0.000 0.000 x1
Mn: 0.500 0.000 0.500 x1
W: 0.000 0.500 0.500 x1
Br: 0.500 0.500 0.000 x1

***

Record 15
Material: MnW2Br
Method: DFT, PBE
State: optimized geometry

Output
Relative energy among the computed polymorphs = 0.53 eV/f.u.
Formation energy from raw total energies = 2.4 eV per formula unit

Cell: 3.251 3.251 7.252 Å, 90.00 90.00 90.00°
Space group P4mm (No. 99)
Asymmetric unit:
Mn: 0.000 0.000 0.000 x1
W: 0.000 0.000 0.381 x1
W: 0.500 0.500 0.203 x1
Br: 0.500 0.500 0.786 x1

***

Record 16
Material: Mn2WBr
Method: DFT, PBE
State: optimized geometry

Output
Relative energy among the computed polymorphs = 0.45 eV/f.u.
Formation energy from raw total energies = 2.0 eV per formula unit

Cell: 3.327 4.955 8.230 Å, 90.00 90.00 90.00°
Space group Cmmm (No. 65)
Asymmetric unit:
Mn: 0.000 0.000 0.238 x4
W: 0.000 0.500 0.000 x2
Br: 0.000 0.500 0.500 x2

***

Record 17
Material: MnW3Br
Method: DFT, PBE
State: optimized geometry

Output
Relative energy among the computed polymorphs = 0.00 eV/f.u.
Formation energy from raw total energies = 9.0 eV per formula unit

Cell: 4.563 4.563 4.563 Å, 90.00 90.00 90.00°
Space group Pm-3m (No. 221)
Asymmetric unit:
Mn: 0.000 0.000 0.000 x1
W: 0.000 0.000 0.500 x3
Br: 0.500 0.500 0.500 x1

***

Record 18
Material: MnW2Br
Method: DFT, PBE
State: optimized geometry

Output
Relative energy among the computed polymorphs = 1.98 eV/f.u.
Formation energy from raw total energies = 3.9 eV per formula unit

Cell: 3.069 4.502 9.482 Å, 90.00 90.00 90.00°
Space group Immm (No. 71)
Asymmetric unit:
Mn: 0.000 0.000 0.000 x2
W: 0.000 0.500 0.248 x4
Br: 0.000 0.000 0.500 x2

***

Record 19
Material: Mn2WBr
Method: DFT, PBE
State: optimized geometry

Output
Relative energy among the computed polymorphs = 2.67 eV/f.u.
Formation energy from raw total energies = 4.2 eV per formula unit

Cell: 4.158 4.158 7.465 Å, 90.00 90.00 90.00°
Space group I4/mmm (No. 139)
Asymmetric unit:
Mn: 0.000 0.500 0.250 x4
W: 0.000 0.000 0.000 x2
Br: 0.000 0.000 0.500 x2

***

Record 20
Material: Mn2WBr
Method: DFT, PBE
State: optimized geometry

Output
Relative energy among the computed polymorphs = 2.03 eV/f.u.
Formation energy from raw total energies = 3.5 eV per formula unit

Cell: 3.036 4.751 8.510 Å, 90.00 90.00 90.00°
Space group Immm (No. 71)
Asymmetric unit:
Mn: 0.000 0.000 0.247 x4
W: 0.000 0.500 0.000 x2
Br: 0.000 0.500 0.500 x2